## TiPbCl3 (PBE)

Data for a relaxed structure of TiPbCl3.

Cell lengths 4.9118, 4.9118, 4.9118 Å; angles 90.00, 90.00, 90.00 degrees
Fractional coordinates of all 5 atoms:
Pb: 0.5000 0.5000 0.5000
Cl: 0.5000 0.0000 0.0000
Cl: 0.0000 0.5000 0.0000
Cl: 0.0000 0.0000 0.5000
Ti: 0.0000 0.0000 0.0000

excess energy over the best structure of this formula in the dataset: 0 meV per atom
final energy: -4.21 eV per atom
ΔE_f (raw): -777 meV per atom
space group: Pm-3m, No. 221


## CaCdRu3 (PBE)

Data for a relaxed structure of CaCdRu3.

Cell lengths 4.9640, 4.9640, 4.9640 Å; angles 90.00, 90.00, 90.00 degrees
Last column: magnetic moment on the atom in μB.
Fractional coordinates of all 5 atoms:
Ca: 0.5000 0.5000 0.5000  -0.03
Ru: 0.0000 0.5000 0.0000  1.93
Cd: 0.0000 0.0000 0.0000  0.01
Ru: 0.0000 0.0000 0.5000  2.15
Ru: 0.5000 0.0000 0.0000  1.25

excess energy over the best structure of this formula in the dataset: 0 meV per atom
ΔE_f: 1.6490 eV/atom
final energy: -4.50 eV per atom
space group: Pm-3m, No. 221


## HfBi3O6 (PBE)

Data for a relaxed structure of HfBi3O6.

Cell lengths 5.8112, 6.4773, 8.2086 Å; angles 90.00, 84.83, 90.00 degrees
Fractional coordinates of all 20 atoms:
O: 0.3561 0.7791 0.4265
Hf: 0.5000 0.5000 0.5000
O: 0.8166 0.6474 0.5377
O: 0.8561 0.7209 0.9265
Bi: 0.0000 0.0000 0.5000
O: 0.8528 0.9347 0.2389
O: 0.3166 0.8526 0.0377
Bi: 0.5204 0.9707 0.7610
O: 0.1834 0.3526 0.4623
Bi: 0.0204 0.5293 0.2610
O: 0.1439 0.2791 0.0735
Bi: 0.4796 0.0293 0.2390
O: 0.1472 0.0653 0.7611
Hf: 0.0000 0.0000 0.0000
O: 0.6439 0.2209 0.5735
Bi: 0.9796 0.4707 0.7390
O: 0.6834 0.1474 0.9623
Bi: 0.5000 0.5000 0.0000
O: 0.3528 0.5653 0.7389
O: 0.6472 0.4347 0.2611

excess energy over the best structure of this formula in the dataset: 17 meV per atom
final energy: -6.85 eV per atom
ΔE_f (raw): -1717 meV per atom
space group: P2_1/c, No. 14


## CePr2ScP4 (PBE)

Data for a relaxed structure of CePr2ScP4.

Cell lengths 4.0728, 7.0106, 7.0531 Å; angles 109.40, 90.00, 90.00 degrees
Last column: magnetic moment on the atom in μB.
Fractional coordinates of all 8 atoms:
P: 0.5000 0.2517 0.2332  -0.01
Ce: 0.0000 0.0000 0.0000  0.23
Pr: 0.0000 0.5000 0.5000  0.01
P: 0.0000 0.7366 0.2282  0.00
P: 0.0000 0.2634 0.7718  0.00
Sc: 0.5000 0.5000 0.0000  0.00
Pr: 0.5000 0.0000 0.5000  0.00
P: 0.5000 0.7483 0.7668  -0.01

ΔE_f: -1.4725 eV/atom
final energy: -6.91 eV per atom
space group: P2/m, No. 10


## Ba3Hf5O12 (PBE)

Data for a relaxed structure of Ba3Hf5O12.

Cell lengths 11.9935, 11.9935, 11.9935 Å; angles 109.47, 109.47, 109.47 degrees
Fractional coordinates of all 80 atoms:
Ba: 0.6250 0.2500 0.3750
O: 0.3950 0.3964 0.0784
O: 0.0013 0.3964 0.8180
O: 0.9987 0.3950 0.3167
O: 0.8180 0.9216 0.3167
O: 0.3964 0.3950 0.5784
O: 0.4216 0.1050 0.6036
Hf: 0.0000 0.0000 0.0000
O: 0.9987 0.6036 0.1820
O: 0.3167 0.4216 0.8180
O: 0.5784 0.6833 0.6820
O: 0.8180 0.8964 0.0013
O: 0.6820 0.4987 0.6036
O: 0.9216 0.1036 0.6050
O: 0.0784 0.8964 0.3950
O: 0.6820 0.1833 0.5784
O: 0.6050 0.6036 0.9216
Ba: 0.6250 0.3750 0.7500
O: 0.9216 0.8180 0.8167
O: 0.3167 0.8950 0.9987
O: 0.5013 0.1833 0.1050
Ba: 0.2500 0.6250 0.8750
Hf: 0.3750 0.1250 0.7500
O: 0.3950 0.9987 0.8167
O: 0.0784 0.1820 0.1833
O: 0.1833 0.6820 0.0784
Hf: 0.6250 0.8750 0.2500
Ba: 0.2500 0.1250 0.3750
O: 0.6050 0.0013 0.1833
Hf: 0.1250 0.7500 0.3750
O: 0.6036 0.6050 0.4216
O: 0.1820 0.1036 0.9987
Hf: 0.5000 0.5000 0.0000
O: 0.1050 0.6833 0.5013
Hf: 0.1250 0.3750 0.2500
O: 0.3180 0.8167 0.4216
O: 0.1050 0.4216 0.1036
Hf: 0.2500 0.8750 0.1250
Ba: 0.7500 0.8750 0.6250
Ba: 0.1250 0.2500 0.8750
Ba: 0.3750 0.7500 0.6250
Hf: 0.0000 0.5000 0.5000
Ba: 0.1250 0.8750 0.7500
Hf: 0.5000 0.5000 0.5000
Hf: 0.2500 0.3750 0.6250
O: 0.8167 0.3180 0.9216
O: 0.8964 0.0784 0.8950
O: 0.6833 0.5784 0.1820
O: 0.4987 0.8167 0.8950
O: 0.4987 0.6820 0.1036
Ba: 0.7500 0.3750 0.1250
Hf: 0.5000 0.0000 0.5000
O: 0.1833 0.5013 0.6050
O: 0.1036 0.1820 0.4987
O: 0.3180 0.5013 0.3964
Ba: 0.3750 0.6250 0.2500
Hf: 0.8750 0.6250 0.7500
Hf: 0.3750 0.2500 0.1250
O: 0.1820 0.0784 0.6833
Hf: 0.0000 0.0000 0.5000
O: 0.8964 0.8180 0.5013
Hf: 0.6250 0.7500 0.8750
Ba: 0.8750 0.1250 0.2500
O: 0.0013 0.6050 0.6833
O: 0.6036 0.9987 0.6820
O: 0.4216 0.3167 0.3180
O: 0.6833 0.1050 0.0013
O: 0.8167 0.4987 0.3950
Ba: 0.8750 0.7500 0.1250
O: 0.8950 0.5784 0.8964
Hf: 0.7500 0.1250 0.8750
O: 0.5784 0.8950 0.3964
O: 0.8950 0.3167 0.4987
O: 0.5013 0.3180 0.8964
Hf: 0.0000 0.5000 0.0000
Hf: 0.8750 0.2500 0.6250
Hf: 0.5000 0.0000 0.0000
O: 0.1036 0.9216 0.1050
O: 0.3964 0.0013 0.3180
Hf: 0.7500 0.6250 0.3750

final energy: -8.87 eV per atom
ΔE_f (raw): -3121 meV per atom
space group: Ia-3d, No. 230


## CsLiY2 (PBE)

Data for a relaxed structure of CsLiY2.

Cell lengths 6.1604, 6.1604, 12.2277 Å; angles 75.41, 75.41, 90.00 degrees
Fractional coordinates of all 8 atoms:
Cs: 0.7500 0.2500 0.5000
Y: 0.3750 0.6250 0.2500
Cs: 0.0000 0.0000 0.0000
Li: 0.2500 0.7500 0.5000
Li: 0.5000 0.5000 0.0000
Y: 0.3750 0.1250 0.2500
Y: 0.3750 0.6250 0.7500
Y: 0.8750 0.6250 0.7500

excess energy over the best structure of this formula in the dataset: 343 meV per atom
ΔE_f: 1.0043 eV/atom
final energy: -2.92 eV per atom
space group: I4_1/amd, No. 141